[1]
DFT (PBE-GGA) results for a relaxed structure of SiTc2Se.

Values from the calculation:
- raw total energy (eV per cell) = -29.67

```
data_SiTc2Se
_chemical_formula_sum 'Si1 Tc2 Se1'
_space_group_name_H-M_alt 'P 4 m m'
_space_group_IT_number 99
_cell_length_a 3.206
_cell_length_b 3.206
_cell_length_c 5.779
_cell_angle_alpha 90.00
_cell_angle_beta 90.00
_cell_angle_gamma 90.00
loop_
_space_group_symop_operation_xyz
'x,y,z'
'-y,x,z'
'-x,-y,z'
'y,-x,z'
'-x,y,z'
'y,x,z'
'x,-y,z'
'-y,-x,z'
loop_
_atom_site_label
_atom_site_type_symbol
_atom_site_fract_x
_atom_site_fract_y
_atom_site_fract_z
Si1 Si 0.000 0.000 0.000
Tc1 Tc 0.000 0.000 0.500
Tc2 Tc 0.500 0.500 0.148
Se1 Se 0.500 0.500 0.695
```


[2]
DFT (PBE-GGA) results for a relaxed structure of SiTcSe.

Values from the calculation:
- raw total energy (eV per cell) = -38.11

```
data_SiTcSe
_chemical_formula_sum 'Si2 Tc2 Se2'
_space_group_name_H-M_alt 'I 4 m m'
_space_group_IT_number 107
_space_group_name_Hall 'I 4 -2'
_cell_length_a 3.004
_cell_length_b 3.004
_cell_length_c 11.497
_cell_angle_alpha 90.00
_cell_angle_beta 90.00
_cell_angle_gamma 90.00
loop_
_atom_site_label
_atom_site_type_symbol
_atom_site_fract_x
_atom_site_fract_y
_atom_site_fract_z
Si1 Si 0.000 0.000 0.000
Tc1 Tc 0.000 0.000 0.631
Se1 Se 0.000 0.000 0.261
```


| no. | Fermi-level density of states (states/eV/cell) | E above lowest polymorph (eV/atom) | formation energy (no corrections) (eV per atom) |
| --- | --- | --- | --- |
| 1 | 2.37 | 0.106 | -0.01 |
| 2 | 4.16 | 0.113 | 0.07 |